Entry from the Alexandria database: a relaxed structure of TiZn2Ag2 (GGA-PBE).

The structure in POSCAR format:
```
TiZn2Ag2
1.0
7.706 0.000 0.000
0.000 7.706 0.000
0.000 0.000 2.814
Ti Zn Ag
2 4 4
Direct
0.000 0.000 0.000
0.500 0.500 0.000
0.169 0.331 0.500
0.331 0.831 0.500
0.669 0.169 0.500
0.831 0.669 0.500
0.130 0.630 0.000
0.370 0.130 0.000
0.630 0.870 0.000
0.870 0.370 0.000
```

- SG: P4/mbm
- Excess energy over the best structure of this formula in the dataset: 0.007 eV/atom
- Formation enthalpy at 0 K: 0.088 eV/atom